(1)
First-principles (SCAN) data for Rb2P2Pd at its PBEsol-relaxed geometry, as listed in Alexandria via LeMat-Bulk.

abc: 7.916 7.916 5.953
angles: 90.00 90.00 131.61
Positions (direct):
1 Rb 0.079 0.921 0.750
2 Rb 0.288 0.712 0.250
3 Rb 0.712 0.288 0.750
4 Rb 0.921 0.079 0.250
5 P 0.226 0.439 0.750
6 P 0.439 0.226 0.250
7 P 0.561 0.774 0.750
8 P 0.774 0.561 0.250
9 Pd 0.500 0.500 0.000
10 Pd 0.500 0.500 0.500

Properties
SG: No. 63
E: -196.3 eV per cell
Formation energy: -0.624 eV/atom
Total magnetization: 0.00 μB per formula unit

---

(2)
First-principles (SCAN) data for Rb2TcPPd at its PBEsol-relaxed geometry, as listed in Alexandria via LeMat-Bulk.

abc: 6.480 6.480 4.322
angles: 90.00 90.00 90.00
Positions (direct):
1 Rb 0.000 0.500 0.000
2 Rb 0.500 0.000 0.000
3 Tc 0.000 0.000 0.500
4 P 0.500 0.500 0.000
5 Pd 0.500 0.500 0.500

Properties
SG: No. 123
E: -115.6 eV per cell
Formation energy: 0.819 eV/atom
Total magnetization: 4.53 μB per formula unit

---

(3)
First-principles (SCAN) data for Re3PPd at its PBEsol-relaxed geometry, as listed in Alexandria via LeMat-Bulk.

abc: 4.624 4.624 4.624
angles: 90.00 90.00 90.00
Positions (direct):
1 Re 0.000 0.000 0.500
2 Re 0.000 0.500 0.000
3 Re 0.500 0.000 0.000
4 P 0.500 0.500 0.500
5 Pd 0.000 0.000 0.000

Properties
SG: No. 221
E: -241.3 eV per cell
Formation energy: 3.029 eV/atom
Total magnetization: 1.92 μB per formula unit

---

(4)
First-principles (SCAN) data for TcPPd2Rh at its PBEsol-relaxed geometry, as listed in Alexandria via LeMat-Bulk.

abc: 4.406 4.406 4.319
angles: 90.00 90.00 90.00
Positions (direct):
1 Tc 0.000 0.000 0.000
2 P 0.500 0.500 0.500
3 Pd 0.000 0.500 0.500
4 Pd 0.500 0.000 0.500
5 Rh 0.500 0.500 0.000

Properties
SG: No. 123
E: -143.1 eV per cell
Formation energy: 0.331 eV/atom
Total magnetization: 5.10 μB per formula unit

---

(5)
First-principles (SCAN) data for Ta2PPdRu at its PBEsol-relaxed geometry, as listed in Alexandria via LeMat-Bulk.

abc: 4.533 4.533 4.230
angles: 90.00 90.00 90.00
Positions (direct):
1 Ta 0.000 0.500 0.000
2 Ta 0.500 0.000 0.000
3 P 0.000 0.000 0.000
4 Pd 0.000 0.000 0.500
5 Ru 0.500 0.500 0.500

Properties
SG: No. 123
E: -209.0 eV per cell
Formation energy: 0.431 eV/atom
Total magnetization: 1.15 μB per formula unit

---

(6)
First-principles (SCAN) data for P2Pd3S8 at its PBEsol-relaxed geometry, as listed in Alexandria via LeMat-Bulk.

abc: 6.867 6.867 7.241
angles: 90.00 90.00 120.00
Positions (direct):
1 P 0.333 0.667 0.333
2 P 0.667 0.333 0.667
3 Pd 0.000 0.500 0.000
4 Pd 0.500 0.000 0.000
5 Pd 0.500 0.500 0.000
6 S 0.180 0.359 0.183
7 S 0.180 0.820 0.183
8 S 0.333 0.667 0.597
9 S 0.359 0.180 0.817
10 S 0.641 0.820 0.183
11 S 0.667 0.333 0.403
12 S 0.820 0.180 0.817
13 S 0.820 0.641 0.817

Properties
SG: No. 164
E: -201.4 eV per cell
Formation energy without anion corrections: -5.29 eV per formula unit
Total magnetization: 0.00 μB per formula unit

---

(7)
First-principles (SCAN) data for SiPPdS2 at its PBEsol-relaxed geometry, as listed in Alexandria via LeMat-Bulk.

abc: 4.385 4.385 4.466
angles: 90.00 90.00 90.00
Positions (direct):
1 Si 0.000 0.000 0.000
2 P 0.000 0.000 0.500
3 Pd 0.500 0.500 0.000
4 S 0.000 0.500 0.500
5 S 0.500 0.000 0.500

Properties
SG: No. 123
E: -68.8 eV per cell
Formation energy without anion corrections: 3.64 eV per formula unit
Total magnetization: 0.00 μB per formula unit

---

(8)
First-principles (SCAN) data for SiP2PdS at its PBEsol-relaxed geometry, as listed in Alexandria via LeMat-Bulk.

abc: 4.517 4.517 4.829
angles: 90.00 90.00 90.00
Positions (direct):
1 Si 0.000 0.000 0.000
2 P 0.000 0.500 0.500
3 P 0.500 0.000 0.500
4 Pd 0.500 0.500 0.500
5 S 0.500 0.500 0.000

Properties
SG: No. 123
E: -68.1 eV per cell
Formation energy without anion corrections: 5.09 eV per formula unit
Total magnetization: 1.28 μB per formula unit

---

(9)
First-principles (SCAN) data for SnPPdS2 at its PBEsol-relaxed geometry, as listed in Alexandria via LeMat-Bulk.

abc: 4.843 4.843 4.981
angles: 90.00 90.00 90.00
Positions (direct):
1 Sn 0.000 0.000 0.000
2 P 0.000 0.000 0.500
3 Pd 0.500 0.500 0.500
4 S 0.000 0.500 0.000
5 S 0.500 0.000 0.000

Properties
SG: No. 123
E: -93.2 eV per cell
Formation energy without anion corrections: 5.20 eV per formula unit
Total magnetization: 0.01 μB per formula unit

---

(10)
First-principles (SCAN) data for YP2PdS at its PBEsol-relaxed geometry, as listed in Alexandria via LeMat-Bulk.

abc: 5.150 5.150 4.990
angles: 90.00 90.00 90.00
Positions (direct):
1 Y 0.000 0.000 0.000
2 P 0.000 0.500 0.000
3 P 0.500 0.000 0.000
4 Pd 0.500 0.500 0.500
5 S 0.000 0.000 0.500

Properties
SG: No. 123
E: -87.5 eV per cell
Formation energy without anion corrections: 3.53 eV per formula unit
Total magnetization: 0.00 μB per formula unit

---

(11)
First-principles (SCAN) data for SbP2Pd at its PBEsol-relaxed geometry, as listed in Alexandria via LeMat-Bulk.

abc: 6.891 6.891 6.891
angles: 132.00 132.00 70.23
Positions (direct):
1 Sb 0.000 0.000 0.000
2 Sb 0.750 0.250 0.500
3 P 0.168 0.625 0.043
4 P 0.375 0.418 0.543
5 P 0.582 0.125 0.957
6 P 0.875 0.832 0.457
7 Pd 0.250 0.750 0.500
8 Pd 0.500 0.500 0.000

Properties
SG: No. 122
E: -181.7 eV per cell
Formation energy without anion corrections: -0.03 eV per formula unit
Total magnetization: 0.00 μB per formula unit

---

(12)
First-principles (SCAN) data for SbPPd3 at its PBEsol-relaxed geometry, as listed in Alexandria via LeMat-Bulk.

abc: 4.813 4.813 4.813
angles: 90.00 90.00 90.00
Positions (direct):
1 Sb 0.000 0.000 0.000
2 P 0.500 0.500 0.500
3 Pd 0.000 0.000 0.500
4 Pd 0.000 0.500 0.000
5 Pd 0.500 0.000 0.000

Properties
SG: No. 221
E: -141.9 eV per cell
Formation energy without anion corrections: 4.10 eV per formula unit
Total magnetization: 0.00 μB per formula unit

---

(13)
First-principles (SCAN) data for SbPPd2 at its PBEsol-relaxed geometry, as listed in Alexandria via LeMat-Bulk.

abc: 8.143 8.143 8.143
angles: 147.86 147.86 46.10
Positions (direct):
1 Sb 0.000 0.000 0.000
2 Sb 0.750 0.250 0.500
3 P 0.250 0.750 0.500
4 P 0.500 0.500 0.000
5 Pd 0.198 0.625 0.073
6 Pd 0.375 0.448 0.573
7 Pd 0.552 0.125 0.927
8 Pd 0.875 0.802 0.427

Properties
SG: No. 122
E: -228.7 eV per cell
Formation energy without anion corrections: -1.14 eV per formula unit
Total magnetization: 0.00 μB per formula unit